# SCAN CaSBrCl2, PBEsol geometry
data_CaSBrCl2
_chemical_formula_sum 'Ca1 S1 Br1 Cl2'
_cell_length_a 5.079
_cell_length_b 5.079
_cell_length_c 5.100
_cell_angle_alpha 90.00
_cell_angle_beta 90.00
_cell_angle_gamma 90.00
_space_group_name_H-M_alt 'P 4/m m m'
_space_group_IT_number 123
_space_group_name_Hall '-P 4 2'
loop_
_atom_site_label
_atom_site_type_symbol
_atom_site_fract_x
_atom_site_fract_y
_atom_site_fract_z
Ca1 Ca 0.000 0.000 0.000
S1 S 0.500 0.500 0.000
Br1 Br 0.500 0.500 0.500
Cl1 Cl 0.000 0.500 0.500
# - DFT total energy: -11.40 eV per atom
# - Formation energy (no corrections): -2.3 eV per formula unit

# SCAN ZnSe, PBEsol geometry
data_ZnSe
_chemical_formula_sum 'Zn4 Se4'
_cell_length_a 3.598
_cell_length_b 12.988
_cell_length_c 3.610
_cell_angle_alpha 90.00
_cell_angle_beta 90.00
_cell_angle_gamma 90.00
_space_group_name_H-M_alt 'C m c m'
_space_group_IT_number 63
_space_group_name_Hall '-C 2c 2'
loop_
_atom_site_label
_atom_site_type_symbol
_atom_site_fract_x
_atom_site_fract_y
_atom_site_fract_z
Zn1 Zn 0.000 0.175 0.250
Se1 Se 0.000 0.369 0.250
# - DFT total energy: -17.22 eV per atom
# - Formation energy (no corrections): -0.8 eV per formula unit

# SCAN Li3BiSe, PBEsol geometry
data_Li3BiSe
_chemical_formula_sum 'Li3 Bi1 Se1'
_cell_length_a 4.775
_cell_length_b 4.775
_cell_length_c 4.775
_cell_angle_alpha 90.00
_cell_angle_beta 90.00
_cell_angle_gamma 90.00
_space_group_name_H-M_alt 'P m -3 m'
_space_group_IT_number 221
_space_group_name_Hall '-P 4 2 3'
loop_
_atom_site_label
_atom_site_type_symbol
_atom_site_fract_x
_atom_site_fract_y
_atom_site_fract_z
Li1 Li 0.000 0.000 0.500
Bi1 Bi 0.500 0.500 0.500
Se1 Se 0.000 0.000 0.000
# - DFT total energy: -21.79 eV per atom
# - Formation energy (no corrections): -3.1 eV per formula unit

# SCAN NaSbMoI2, PBEsol geometry
data_NaSbMoI2
_chemical_formula_sum 'Na1 Sb1 Mo1 I2'
_cell_length_a 5.717
_cell_length_b 5.717
_cell_length_c 5.153
_cell_angle_alpha 90.00
_cell_angle_beta 90.00
_cell_angle_gamma 90.00
_space_group_name_H-M_alt 'P 4/m m m'
_space_group_IT_number 123
_space_group_name_Hall '-P 4 2'
loop_
_atom_site_label
_atom_site_type_symbol
_atom_site_fract_x
_atom_site_fract_y
_atom_site_fract_z
Na1 Na 0.000 0.000 0.000
Sb1 Sb 0.500 0.500 0.000
Mo1 Mo 0.500 0.500 0.500
I1 I 0.000 0.500 0.500
# - DFT total energy: -29.94 eV per atom
# - Formation energy (no corrections): 0.1 eV per formula unit